Computed, not measured: a relaxed structure of Li3Mg2Cd4 at the PBE level of DFT.

Computed properties:
total DFT energy (no corrections)	-14.26	eV for the cell shown
formation enthalpy at 0 K	-0.185	eV per atom
space-group type	No. 12
spin magnetization	0.0	μB per formula unit

Lattice parameters (Å, degrees): 5.547 5.547 8.826 120.31 120.31 52.08
Fractional coordinates of all 9 atoms:
Li 0.000 0.000 0.000
Li 0.011 0.011 0.671
Li 0.989 0.989 0.329
Mg 0.332 0.332 0.658
Mg 0.668 0.668 0.342
Cd 0.331 0.331 0.328
Cd 0.338 0.338 0.995
Cd 0.662 0.662 0.005
Cd 0.669 0.669 0.672

=====

Computed, not measured: a relaxed structure of Li3Mg4Cd at the PBE level of DFT.

Computed properties:
total DFT energy (no corrections)	-13.85	eV for the cell shown
formation enthalpy at 0 K	-0.102	eV per atom
space-group type	No. 12
spin magnetization	0.0	μB per formula unit

Lattice parameters (Å, degrees): 10.111 10.111 4.855 103.66 103.66 19.62
Fractional coordinates of all 8 atoms:
Li 0.000 0.000 0.000
Li 0.118 0.118 0.622
Li 0.882 0.882 0.378
Mg 0.257 0.257 0.257
Mg 0.378 0.378 0.873
Mg 0.622 0.622 0.127
Mg 0.743 0.743 0.743
Cd 0.500 0.500 0.500

=====

Computed, not measured: a relaxed structure of LiMg7Cd3 at the PBE level of DFT.

Computed properties:
total DFT energy (no corrections)	-15.84	eV for the cell shown
formation enthalpy at 0 K	-0.002	eV per atom
space-group type	No. 156
spin magnetization	0.0	μB per formula unit

Lattice parameters (Å, degrees): 6.308 6.308 7.458 90.00 90.00 120.00
Fractional coordinates of all 11 atoms:
Li 0.000 0.000 0.000
Mg 0.333 0.166 0.351
Mg 0.333 0.667 0.352
Mg 0.501 0.001 0.003
Mg 0.501 0.499 0.003
Mg 0.834 0.166 0.351
Mg 0.834 0.667 0.351
Mg 0.999 0.499 0.003
Cd 0.165 0.329 0.681
Cd 0.165 0.835 0.681
Cd 0.671 0.835 0.681

=====

Computed, not measured: a relaxed structure of LiMg4Cd3 at the PBE level of DFT.

Computed properties:
total DFT energy (no corrections)	-11.77	eV for the cell shown
formation enthalpy at 0 K	-0.092	eV per atom
space-group type	No. 25
spin magnetization	0.0	μB per formula unit

Lattice parameters (Å, degrees): 3.177 4.780 11.324 90.00 90.00 90.00
Fractional coordinates of all 8 atoms:
Li 0.000 0.000 0.000
Mg 0.000 0.000 0.258
Mg 0.000 0.500 0.608
Mg 0.500 0.000 0.770
Mg 0.500 0.500 0.102
Cd 0.000 0.500 0.870
Cd 0.500 0.000 0.511
Cd 0.500 0.500 0.361

=====

Computed, not measured: a relaxed structure of Li5Mg2Cd5 at the PBE level of DFT.

Computed properties:
total DFT energy (no corrections)	-19.74	eV for the cell shown
formation enthalpy at 0 K	-0.201	eV per atom
space-group type	No. 12
spin magnetization	0.0	μB per formula unit

Lattice parameters (Å, degrees): 5.610 5.610 10.131 107.88 107.88 50.03
Fractional coordinates of all 12 atoms:
Li 0.000 0.000 0.000
Li 0.172 0.172 0.487
Li 0.245 0.245 0.242
Li 0.755 0.755 0.758
Li 0.828 0.828 0.513
Mg 0.089 0.089 0.745
Mg 0.911 0.911 0.255
Cd 0.341 0.341 0.008
Cd 0.402 0.402 0.739
Cd 0.500 0.500 0.500
Cd 0.598 0.598 0.261
Cd 0.659 0.659 0.992

=====

Computed, not measured: a relaxed structure of Li6Mg2Cd at the PBE level of DFT.

Computed properties:
total DFT energy (no corrections)	-16.06	eV for the cell shown
formation enthalpy at 0 K	-0.052	eV per atom
space-group type	No. 162
spin magnetization	0.0	μB per formula unit

Lattice parameters (Å, degrees): 8.506 8.506 2.941 90.00 90.00 120.00
Fractional coordinates of all 9 atoms:
Li 0.000 0.332 0.311
Li 0.000 0.668 0.689
Li 0.332 0.000 0.311
Li 0.332 0.332 0.689
Li 0.668 0.000 0.689
Li 0.668 0.668 0.311
Mg 0.333 0.667 0.000
Mg 0.667 0.333 0.000
Cd 0.000 0.000 0.500

=====

Computed, not measured: a relaxed structure of LiMg5Cd at the PBE level of DFT.

Computed properties:
total DFT energy (no corrections)	-21.57	eV for the cell shown
formation enthalpy at 0 K	0.002	eV per atom
space-group type	No. 15
spin magnetization	0.0	μB per formula unit

Lattice parameters (Å, degrees): 7.770 7.770 5.531 101.93 101.93 88.93
Fractional coordinates of all 14 atoms:
Li 0.063 0.937 0.750
Li 0.937 0.063 0.250
Mg 0.159 0.550 0.681
Mg 0.163 0.322 0.097
Mg 0.222 0.778 0.250
Mg 0.322 0.163 0.597
Mg 0.450 0.841 0.819
Mg 0.550 0.159 0.181
Mg 0.678 0.837 0.403
Mg 0.778 0.222 0.750
Mg 0.837 0.678 0.903
Mg 0.841 0.450 0.319
Cd 0.500 0.500 0.000
Cd 0.500 0.500 0.500

=====

Computed, not measured: a relaxed structure of Li23Mg6Cd at the PBE level of DFT.

Computed properties:
total DFT energy (no corrections)	-54.56	eV for the cell shown
formation enthalpy at 0 K	-0.002	eV per atom
space-group type	No. 225
spin magnetization	0.0	μB per formula unit

Lattice parameters (Å, degrees): 9.484 9.484 9.484 60.00 60.00 60.00
Fractional coordinates of all 30 atoms:
Li 0.000 0.000 0.000
Li 0.000 0.000 0.500
Li 0.000 0.500 0.000
Li 0.000 0.500 0.500
Li 0.045 0.652 0.652
Li 0.119 0.119 0.119
Li 0.119 0.119 0.642
Li 0.119 0.642 0.119
Li 0.348 0.348 0.348
Li 0.348 0.348 0.955
Li 0.348 0.955 0.348
Li 0.358 0.881 0.881
Li 0.500 0.000 0.000
Li 0.500 0.000 0.500
Li 0.500 0.500 0.000
Li 0.642 0.119 0.119
Li 0.652 0.045 0.652
Li 0.652 0.652 0.045
Li 0.652 0.652 0.652
Li 0.881 0.358 0.881
Li 0.881 0.881 0.358
Li 0.881 0.881 0.881
Li 0.955 0.348 0.348
Mg 0.275 0.275 0.725
Mg 0.275 0.725 0.275
Mg 0.275 0.725 0.725
Mg 0.725 0.275 0.275
Mg 0.725 0.275 0.725
Mg 0.725 0.725 0.275
Cd 0.500 0.500 0.500